No. 1
{
  "formula": "AsIr15",
  "functional": "GGA-PBE",
  "state": "optimized geometry",
  "polymorph_energy_mev_per_atom": 63,
  "vol_a3_per_atom": 21.96,
  "sg": "P2_1/m, No. 11",
  "lattice_angstrom": [[7.708, 0.000, 0.000], [0.000, 2.733, 0.000], [0.000, 0.000, 33.359]],
  "species": ["As", "As", "Ir", "Ir", "Ir", "Ir", "Ir", "Ir", "Ir", "Ir", "Ir", "Ir", "Ir", "Ir", "Ir", "Ir", "Ir", "Ir", "Ir", "Ir", "Ir", "Ir", "Ir", "Ir", "Ir", "Ir", "Ir", "Ir", "Ir", "Ir", "Ir", "Ir"],
  "fractional_positions": [[0.375, 0.750, 0.197], [0.625, 0.250, 0.803], [0.875, 0.750, 0.196], [0.122, 0.250, 0.232], [0.628, 0.250, 0.232], [0.375, 0.750, 0.274], [0.875, 0.750, 0.277], [0.624, 0.250, 0.316], [0.126, 0.250, 0.316], [0.875, 0.750, 0.357], [0.375, 0.750, 0.357], [0.626, 0.250, 0.398], [0.124, 0.250, 0.398], [0.375, 0.750, 0.439], [0.875, 0.750, 0.439], [0.125, 0.250, 0.479], [0.625, 0.250, 0.480], [0.375, 0.750, 0.520], [0.875, 0.750, 0.521], [0.125, 0.250, 0.561], [0.625, 0.250, 0.561], [0.876, 0.750, 0.602], [0.374, 0.750, 0.602], [0.625, 0.250, 0.643], [0.125, 0.250, 0.643], [0.874, 0.750, 0.684], [0.376, 0.750, 0.684], [0.125, 0.250, 0.723], [0.625, 0.250, 0.726], [0.372, 0.750, 0.768], [0.878, 0.750, 0.768], [0.125, 0.250, 0.804]]
}


No. 2
{
  "formula": "AsIr15",
  "functional": "GGA-PBE",
  "state": "optimized geometry",
  "polymorph_energy_mev_per_atom": 62,
  "vol_a3_per_atom": 20.36,
  "sg": "P2/c, No. 13",
  "lattice_angstrom": [[-0.905, -3.782, 2.673], [4.629, 0.253, -0.884], [3.952, 17.153, 25.601]],
  "species": ["As", "As", "Ir", "Ir", "Ir", "Ir", "Ir", "Ir", "Ir", "Ir", "Ir", "Ir", "Ir", "Ir", "Ir", "Ir", "Ir", "Ir", "Ir", "Ir", "Ir", "Ir", "Ir", "Ir", "Ir", "Ir", "Ir", "Ir", "Ir", "Ir", "Ir", "Ir"],
  "fractional_positions": [[0.000, 0.750, 0.171], [0.000, 0.250, 0.829], [0.500, 0.250, 0.174], [0.500, 0.750, 0.213], [0.000, 0.250, 0.213], [0.500, 0.250, 0.258], [0.000, 0.750, 0.259], [0.000, 0.250, 0.302], [0.500, 0.750, 0.302], [0.500, 0.250, 0.346], [0.000, 0.750, 0.347], [0.000, 0.250, 0.390], [0.500, 0.750, 0.390], [0.000, 0.750, 0.434], [0.500, 0.250, 0.434], [0.500, 0.750, 0.478], [0.000, 0.250, 0.478], [0.000, 0.750, 0.522], [0.500, 0.250, 0.522], [0.500, 0.750, 0.566], [0.000, 0.250, 0.566], [0.500, 0.250, 0.610], [0.000, 0.750, 0.610], [0.000, 0.250, 0.653], [0.500, 0.750, 0.654], [0.500, 0.250, 0.697], [0.000, 0.750, 0.698], [0.000, 0.250, 0.741], [0.500, 0.750, 0.742], [0.000, 0.750, 0.787], [0.500, 0.250, 0.787], [0.500, 0.750, 0.826]]
}


No. 3
{
  "formula": "AsIr",
  "functional": "GGA-PBE",
  "state": "optimized geometry",
  "vol_a3_per_atom": 20.86,
  "final_energy_ev_per_atom": -6.741,
  "sg": "F-43m, No. 216",
  "lattice_angstrom": [[-0.054, -3.688, 1.246], [-2.369, -2.589, -1.685], [1.478, -2.829, -2.228]],
  "species": ["As", "Ir"],
  "fractional_positions": [[0.000, 0.000, 0.000], [0.250, 0.250, 0.250]]
}


No. 4
{
  "formula": "AsIr",
  "functional": "GGA-PBE",
  "state": "optimized geometry",
  "vol_a3_per_atom": 17.98,
  "final_energy_ev_per_atom": -6.768,
  "sg": "Pmma, No. 51",
  "lattice_angstrom": [[-0.821, 0.912, 4.905], [3.345, -1.474, 0.834], [3.199, 6.841, -0.736]],
  "species": ["As", "As", "As", "As", "Ir", "Ir", "Ir", "Ir"],
  "fractional_positions": [[0.750, 0.500, 0.070], [0.250, 0.000, 0.330], [0.750, 0.000, 0.670], [0.250, 0.500, 0.930], [0.750, 0.000, 0.276], [0.000, 0.500, 0.500], [0.500, 0.500, 0.500], [0.250, 0.000, 0.724]]
}


No. 5
{
  "formula": "K3As2Ir",
  "functional": "GGA-PBE",
  "state": "optimized geometry",
  "vol_a3_per_atom": 33.05,
  "final_energy_ev_per_atom": -3.829,
  "sg": "Ibam, No. 72",
  "lattice_angstrom": [[6.227, -6.254, -0.171], [-0.731, 7.810, 4.050], [-4.057, -7.406, 2.573]],
  "species": ["As", "As", "As", "As", "Ir", "Ir", "K", "K", "K", "K", "K", "K"],
  "fractional_positions": [[0.920, 0.165, 0.085], [0.580, 0.665, 0.245], [0.420, 0.335, 0.755], [0.080, 0.835, 0.915], [0.250, 0.250, 0.000], [0.750, 0.750, 0.000], [0.313, 0.690, 0.003], [0.187, 0.190, 0.377], [0.750, 0.250, 0.500], [0.250, 0.750, 0.500], [0.813, 0.810, 0.623], [0.687, 0.310, 0.997]]
}


No. 6
{
  "formula": "KAsIrO",
  "functional": "GGA-PBE",
  "state": "optimized geometry",
  "polymorph_energy_mev_per_atom": 259,
  "vol_a3_per_atom": 21.55,
  "sg": "P4/nmm, No. 129",
  "lattice_angstrom": [[2.817, -2.817, 0.000], [2.817, 2.817, 0.000], [0.000, 0.000, 10.866]],
  "species": ["As", "As", "Ir", "Ir", "K", "K", "O", "O"],
  "fractional_positions": [[0.750, 0.750, 0.368], [0.250, 0.250, 0.632], [0.750, 0.250, 0.500], [0.250, 0.750, 0.500], [0.250, 0.250, 0.148], [0.750, 0.750, 0.852], [0.750, 0.250, 0.000], [0.250, 0.750, 0.000]]
}


No. 7
{
  "formula": "KAsIrO",
  "functional": "GGA-PBE",
  "state": "optimized geometry",
  "polymorph_energy_mev_per_atom": 113,
  "vol_a3_per_atom": 21.12,
  "sg": "Pmc2_1, No. 26",
  "lattice_angstrom": [[-2.387, -2.942, 0.011], [4.394, -3.561, 1.181], [-1.212, 1.012, 7.557]],
  "species": ["As", "As", "Ir", "Ir", "K", "K", "O", "O"],
  "fractional_positions": [[0.000, 0.343, 0.267], [0.000, 0.657, 0.767], [0.000, 0.665, 0.456], [0.000, 0.335, 0.956], [0.500, 0.838, 0.098], [0.500, 0.162, 0.598], [0.500, 0.745, 0.434], [0.500, 0.255, 0.934]]
}


No. 8
{
  "formula": "KAsIrO",
  "functional": "GGA-PBE",
  "state": "optimized geometry",
  "polymorph_energy_mev_per_atom": 0,
  "vol_a3_per_atom": 20.73,
  "sg": "Pmc2_1, No. 26",
  "lattice_angstrom": [[-3.136, 0.573, 2.082], [-3.391, -6.109, -3.426], [2.032, -3.364, 3.986]],
  "species": ["As", "As", "Ir", "Ir", "K", "K", "O", "O"],
  "fractional_positions": [[0.000, 0.148, 0.385], [0.000, 0.852, 0.885], [0.500, 0.993, 0.107], [0.500, 0.007, 0.607], [0.000, 0.620, 0.395], [0.000, 0.380, 0.895], [0.500, 0.813, 0.367], [0.500, 0.187, 0.867]]
}